Computed, not measured: crystalline ZrCdReC2 at its relaxed geometry at the GGA-PBE level of DFT.

Cell and atoms, written as CIF:
```
data_ZrCdReC2
_cell_length_a 4.282
_cell_length_b 5.255
_cell_length_c 4.282
_cell_angle_alpha 90.00
_cell_angle_beta 90.00
_cell_angle_gamma 90.00
_space_group_name_H-M_alt 'P 1'
_space_group_IT_number 1
loop_
_space_group_symop_operation_xyz
'x,y,z'
loop_
_atom_site_label
_atom_site_type_symbol
_atom_site_fract_x
_atom_site_fract_y
_atom_site_fract_z
Re1 Re 0.000 0.500 0.000
C1 C 0.000 0.000 0.500
C2 C 0.500 0.000 0.000
Zr1 Zr 0.000 0.000 0.000
Cd1 Cd 0.500 0.500 0.500
```

Its energy relative to the lowest polymorph listed for this composition is 0.0 meV/atom. The crystal system is tetragonal.

Computed, not measured: crystalline Cd3RhC at its relaxed geometry at the GGA-PBE level of DFT.

Cell and atoms, written as CIF:
```
data_Cd3RhC
_cell_length_a 5.167
_cell_length_b 5.167
_cell_length_c 5.167
_cell_angle_alpha 90.00
_cell_angle_beta 90.00
_cell_angle_gamma 90.00
_space_group_name_H-M_alt 'P 1'
_space_group_IT_number 1
loop_
_space_group_symop_operation_xyz
'x,y,z'
loop_
_atom_site_label
_atom_site_type_symbol
_atom_site_fract_x
_atom_site_fract_y
_atom_site_fract_z
C1 C 0.500 0.500 0.500
Rh1 Rh 0.000 0.000 0.000
Cd1 Cd 0.000 0.500 0.000
Cd2 Cd 0.000 0.000 0.500
Cd3 Cd 0.500 0.000 0.000
```

Its energy relative to the lowest polymorph listed for this composition is 657.1 meV/atom. The crystal system is cubic.

Computed, not measured: crystalline CdRh3C at its relaxed geometry at the GGA-PBE level of DFT.

Cell and atoms, written as CIF:
```
data_CdRh3C
_cell_length_a 17.932
_cell_length_b 5.675
_cell_length_c 7.246
_cell_angle_alpha 90.00
_cell_angle_beta 157.39
_cell_angle_gamma 90.00
_space_group_name_H-M_alt 'P 1'
_space_group_IT_number 1
loop_
_space_group_symop_operation_xyz
'x,y,z'
loop_
_atom_site_label
_atom_site_type_symbol
_atom_site_fract_x
_atom_site_fract_y
_atom_site_fract_z
C1 C 0.176 0.500 0.778
C2 C 0.824 0.500 0.222
C3 C 0.324 0.000 0.722
C4 C 0.676 0.000 0.278
Rh1 Rh 0.250 0.250 0.751
Rh2 Rh 0.750 0.750 0.249
Rh3 Rh 0.250 0.750 0.749
Rh4 Rh 0.750 0.250 0.251
Rh5 Rh 0.396 0.499 0.437
Rh6 Rh 0.604 0.501 0.563
Rh7 Rh 0.104 0.999 0.063
Rh8 Rh 0.896 0.001 0.937
Rh9 Rh 0.500 0.759 0.999
Rh10 Rh 0.500 0.241 0.001
Rh11 Rh 0.000 0.259 0.501
Rh12 Rh 0.000 0.741 0.499
Cd1 Cd 0.358 0.999 0.330
Cd2 Cd 0.642 0.001 0.670
Cd3 Cd 0.142 0.499 0.170
Cd4 Cd 0.858 0.501 0.830
```

The crystal system is monoclinic.

Short version: magnetization = 0.0, 2.0, 0.0 Bohr magnetons per cell, in the order given.
Short version: formation enthalpy at 0 K = 2.2902, 1.5291, 0.1023 eV per atom, in the order given.